DFT (PBE-GGA) results for SmTh2Cu after structural relaxation.

Cell: 3.608 3.608 8.640 Å, 90.00 90.00 90.00°
Fractional positions:
Cu1 0.500 0.500 0.000
Th1 0.000 0.000 0.200
Sm1 0.500 0.500 0.500
Th2 0.000 0.000 0.800

Values from the calculation:
Fermi-level density of states: 4.29 states/eV per cell
Symmetry: P4/mmm
Spin magnetization: 0.0 μB/f.u.
Energy relative to the lowest polymorph listed for this composition: 0.00 eV/f.u.
Energy of formation: 19 meV/atom

=====

DFT (PBE-GGA) results for TbHoPt after structural relaxation.

Cell: 4.861 4.861 4.861 Å, 60.00 60.00 60.00°
Fractional positions:
Tb1 0.000 0.000 0.000
Pt1 0.250 0.250 0.250
Ho1 0.500 0.500 0.500

Values from the calculation:
Fermi-level density of states: 1.90 states/eV per cell
Symmetry: F-43m
Spin magnetization: 0.0 μB/f.u.
Energy relative to the lowest polymorph listed for this composition: 0.22 eV/f.u.
Energy of formation: -871 meV/atom

=====

What is the energy relative to the lowest polymorph listed for this composition in the second record?
0.22 eV/f.u.